The following is a PBE calculation of a relaxed structure of CsSrCl2, from Alexandria via LeMat-Bulk.

```
CsSrCl2
1.0
2.482 1.433 9.482
-2.482 1.433 9.482
0.000 -2.866 9.482
Cs Sr Cl
1 1 2
Cartesian
0.000 0.000 0.000 Cs
0.000 0.000 14.224 Sr
0.000 0.000 11.460 Cl
0.000 0.000 16.987 Cl
```

Values from the calculation:
The calculation puts the energy relative to the lowest polymorph listed for this composition at 0.048 eV/atom. The space-group type is No. 166.

The following is a PBE calculation of a relaxed structure of Ac2Nd8Ho, from Alexandria via LeMat-Bulk.

```
Ac2Nd8Ho
1.0
10.045 -3.588 0.000
10.045 3.588 0.000
-0.354 0.000 5.783
Ac Nd Ho
2 8 1
Cartesian
4.306 0.000 1.492 Ac
15.429 0.000 4.291 Ac
0.807 0.000 1.354 Nd
7.504 1.887 1.549 Nd
6.239 0.000 4.489 Nd
12.231 1.887 4.235 Nd
7.504 -1.887 1.549 Nd
13.496 0.000 1.295 Nd
12.231 -1.887 4.235 Nd
18.928 0.000 4.429 Nd
10.045 0.000 0.000 Ho
```

Values from the calculation:
The calculation puts the energy relative to the lowest polymorph listed for this composition at 0.027 eV/atom. The space-group type is No. 12.

The following is a PBE calculation of a relaxed structure of Ti5ZnSb2, from Alexandria via LeMat-Bulk.

```
Ti5ZnSb2
1.0
-5.237 5.237 2.592
5.237 -5.237 2.592
5.237 5.237 -2.592
Ti Zn Sb
10 2 4
Cartesian
8.185 0.782 0.000 Ti
0.782 2.289 0.000 Ti
5.237 0.000 1.296 Ti
6.019 2.948 0.000 Ti
2.948 4.455 0.000 Ti
2.289 0.782 2.592 Ti
-0.782 2.289 2.592 Ti
0.000 5.237 1.296 Ti
4.455 2.948 2.592 Ti
-2.948 4.455 2.592 Ti
0.000 0.000 1.296 Zn
0.000 0.000 3.888 Zn
3.516 1.721 0.000 Sb
3.516 -1.721 2.592 Sb
1.721 6.958 0.000 Sb
1.721 3.516 2.592 Sb
```

Values from the calculation:
The calculation puts the energy relative to the lowest polymorph listed for this composition at 0.000 eV/atom. The space-group type is No. 140.

The following is a PBE calculation of a relaxed structure of Ga3SnS, from Alexandria via LeMat-Bulk.

```
Ga3SnS
1.0
5.296 0.000 0.000
0.000 5.296 0.000
0.000 0.000 5.296
Ga Sn S
3 1 1
Cartesian
0.000 0.000 2.648 Ga
0.000 2.648 0.000 Ga
2.648 0.000 0.000 Ga
0.000 0.000 0.000 Sn
2.648 2.648 2.648 S
```

Values from the calculation:
The calculation puts the energy relative to the lowest polymorph listed for this composition at 0.269 eV/atom. The space-group type is No. 221.

The following is a PBE calculation of a relaxed structure of Li4Pm5Ga4, from Alexandria via LeMat-Bulk.

```
Li4Pm5Ga4
1.0
-5.853 5.853 2.254
5.853 -5.853 2.254
5.853 5.853 -2.254
Li Pm Ga
4 5 4
Cartesian
4.676 0.827 0.000 Li
5.025 -1.177 2.254 Li
0.827 7.029 0.000 Li
1.177 5.025 2.254 Li
9.238 1.516 0.000 Pm
1.516 2.467 0.000 Pm
0.000 0.000 2.254 Pm
4.337 3.385 2.254 Pm
-3.385 4.337 2.254 Pm
6.506 2.854 0.000 Ga
2.854 5.199 0.000 Ga
2.999 0.653 2.254 Ga
-0.653 2.999 2.254 Ga
```

Values from the calculation:
The space-group type is No. 87.

The following is a PBE calculation of a relaxed structure of Pr7Ho4Mg, from Alexandria via LeMat-Bulk.

```
Pr7Ho4Mg
1.0
5.675 -2.821 0.000
5.675 2.821 0.000
-3.474 0.000 12.778
Pr Ho Mg
7 4 1
Cartesian
0.000 0.000 0.000 Pr
-0.056 0.000 5.993 Pr
2.743 0.000 1.332 Pr
1.305 0.000 9.511 Pr
6.570 0.000 3.267 Pr
5.133 0.000 11.446 Pr
7.931 0.000 6.785 Pr
-2.159 0.000 9.919 Ho
3.350 0.000 4.767 Ho
4.525 0.000 8.011 Ho
10.034 0.000 2.859 Ho
5.675 0.000 0.000 Mg
```

Values from the calculation:
The space-group type is No. 12.

Across the entries above, total DFT energy (no corrections) takes the values -3.29 -4.44 -6.56 -2.92 -3.70 -4.26 eV/atom, respectively.